1.
The following is a PBE calculation of crystalline LaTmIn at its relaxed geometry, from Alexandria via LeMat-Bulk.

a b c (Å): 5.488 5.488 6.855
angles (deg): 90.00 90.00 119.99
Positions (direct):
La  0.000  0.500  0.000
La  0.000  0.500  0.500
In  0.333  0.167  0.750
In  0.667  0.833  0.250
Tm  0.667  0.833  0.750
Tm  0.333  0.167  0.250

## Properties
Size of the total moment in μB/cell: 0.00

---

2.
The following is a PBE calculation of crystalline Cs3HfP at its relaxed geometry, from Alexandria via LeMat-Bulk.

a b c (Å): 6.962 6.962 6.962
angles (deg): 90.00 90.00 90.00
Site moments in Bohr magnetons follow the coordinates.
Positions (direct):
P  0.500  0.500  0.500  -0.63
Cs  0.000  0.500  0.000  0.06
Cs  0.500  0.000  0.000  0.04
Cs  0.000  0.000  0.500  0.06
Hf  0.000  0.000  0.000  1.60

## Properties
Size of the total moment in μB/cell: 2.00

---

Across the entries above, energy of formation from the pure elements takes the values -335 1382 meV/atom, respectively.